[1]
Here is an optimized crystal structure of CdGaFeHg from OQMD. Energies are from PBE-GGA.

The calculation puts the magnetic moment at 2.58 μB per formula unit. For the energy relative to the lowest polymorph listed for this composition, the calculation gives 0.00 eV/f.u.

Cell: 6.6589 6.6589 6.6589 Å, 90.00 90.00 90.00°
With the nearest neighbours (Å) after each atom.
Space group F-43m (No. 216)
Inequivalent atoms, fractional coordinates:
Cd (0.0000, 0.0000, 0.0000) (multiplicity 4)  4 Hg 2.88, 4 Ga 2.88
Ga (0.2500, 0.2500, 0.2500) (multiplicity 4)  4 Cd 2.88, 4 Fe 2.88
Fe (0.0000, 0.0000, 0.5000) (multiplicity 4)  4 Hg 2.88, 4 Ga 2.88
Hg (0.2500, 0.2500, 0.7500) (multiplicity 4)  4 Cd 2.88, 4 Fe 2.88

[2]
Here is an optimized crystal structure of SbAu from OQMD. Energies are from PBE-GGA.

The calculated total energy is -29.4 eV per cell.

Cell: 5.6953 4.1070 7.8482 Å, 90.00 90.00 90.00°
With the nearest neighbours (Å) after each atom.
Space group Pmma (No. 51)
Inequivalent atoms, fractional coordinates:
Sb (0.2500, 0.0000, 0.0487) (multiplicity 2)  2 Au 2.77, 2 Sb 2.95
Sb (0.2500, 0.5000, 0.7122) (multiplicity 2)  6 Au 2.85-3.00
Au (0.0000, 0.0000, 0.5000) (multiplicity 2)  6 Au 2.85-3.02, 4 Sb 3.00
Au (0.2500, 0.5000, 0.2847) (multiplicity 2)  4 Sb 2.77-2.85, 4 Au 3.02

[3]
Here is an optimized crystal structure of RbHfCu3S4 from OQMD. Energies are from PBE-GGA.

The calculation puts the magnetic moment at 0.00 μB per formula unit. For the energy relative to the lowest polymorph listed for this composition, the calculation gives 1.18 eV/f.u.

Cell: 6.0366 6.0366 6.0366 Å, 90.00 90.00 90.00°
With the nearest neighbours (Å) after each atom.
Space group P-43m (No. 215)
Inequivalent atoms, fractional coordinates:
Rb (0.0000, 0.0000, 0.0000) (multiplicity 1)  4 S 2.89
Hf (0.5000, 0.5000, 0.5000) (multiplicity 1)  4 S 2.34
Cu (0.0000, 0.5000, 0.5000) (multiplicity 3)  4 S 2.54
S (0.2765, 0.2765, 0.2765) (multiplicity 4)  1 Hf 2.34, 3 Cu 2.54

[4]
Here is an optimized crystal structure of Tl2InCoCl6 from OQMD. Energies are from PBE-GGA.

The calculated total energy is -135.6 eV per cell. The calculation puts the magnetic moment at 2.15 μB per formula unit.

Cell: 10.1186 10.1186 10.1186 Å, 90.00 90.00 90.00°
With the nearest neighbours (Å) after each atom.
Space group Fm-3m (No. 225)
Inequivalent atoms, fractional coordinates:
Tl (0.2500, 0.2500, 0.2500) (multiplicity 8)  12 Cl 3.58
In (0.0000, 0.0000, 0.0000) (multiplicity 4)  6 Cl 2.64
Co (0.0000, 0.0000, 0.5000) (multiplicity 4)  6 Cl 2.42
Cl (0.0000, 0.0000, 0.2605) (multiplicity 24)  1 Co 2.42, 1 In 2.64

[5]
Here is an optimized crystal structure of SmAgS2 from OQMD. Energies are from PBE-GGA.

The calculated total energy is -168.6 eV per cell. The calculation puts the magnetic moment at 0.00 μB per formula unit.

Cell: 7.7807 7.7809 12.8354 Å, 90.00 90.21 90.00°
With the nearest neighbours (Å) after each atom.
Space group P2_1 (No. 4)
Inequivalent atoms, fractional coordinates:
Sm (0.9996, 0.0000, 0.2472) (multiplicity 2)  6 S 2.79-2.84
Sm (0.2480, 0.7486, 0.4970) (multiplicity 2)  6 S 2.80-2.84
Sm (0.2513, 0.2483, 0.9973) (multiplicity 2)  6 S 2.79-2.84
Sm (0.4997, 0.4975, 0.2529) (multiplicity 2)  6 S 2.79-2.84
Ag (0.0067, 0.0142, 0.6771) (multiplicity 2)  3 S 2.49-2.72
Ag (0.2311, 0.7578, 0.9273) (multiplicity 2)  3 S 2.49-2.72
Ag (0.2730, 0.2370, 0.4271) (multiplicity 2)  3 S 2.49-2.71
Ag (0.4926, 0.9809, 0.1769) (multiplicity 2)  3 S 2.49-2.71
S (0.0254, 0.5244, 0.9720) (multiplicity 2)  1 Ag 2.49
S (0.0336, 0.0330, 0.4666) (multiplicity 2)  2 Ag 2.50-2.72, 2 Sm 2.80
S (0.2168, 0.7810, 0.7163) (multiplicity 2)  2 Ag 2.49-2.72
S (0.2234, 0.7226, 0.2779) (multiplicity 2)  1 Ag 2.49
S (0.2757, 0.2732, 0.7784) (multiplicity 2)  1 Ag 2.49
S (0.2839, 0.2147, 0.2166) (multiplicity 2)  2 Ag 2.49-2.71
S (0.4671, 0.9651, 0.9664) (multiplicity 2)  2 Ag 2.49-2.71
S (0.4760, 0.4736, 0.4720) (multiplicity 2)  1 Ag 2.49

[6]
Here is an optimized crystal structure of SmBSb2O8 from OQMD. Energies are from PBE-GGA.

The calculated total energy is -673.0 eV per cell. The calculation puts the magnetic moment at 0.00 μB per formula unit.

Cell: 12.6314 7.2974 12.7595 Å, 90.00 90.00 90.00°
With the nearest neighbours (Å) after each atom.
Space group Pnma (No. 62)
Inequivalent atoms, fractional coordinates:
Sm (0.0458, 0.2500, 0.2373) (multiplicity 4)  2 O 2.13-2.34
Sm (0.2494, 0.7500, 0.4806) (multiplicity 4)  6 O 2.24-2.51
B (0.2243, 0.7500, 0.7476) (multiplicity 4)  3 O 1.31-1.43
B (0.2442, 0.2500, 0.7370) (multiplicity 4)  3 O 1.34-1.40
Sb (0.0000, 0.0000, 0.0000) (multiplicity 4)  6 O 1.97-1.99
Sb (0.0000, 0.0000, 0.5000) (multiplicity 4)  6 O 1.96-1.99
Sb (0.0079, 0.7500, 0.2517) (multiplicity 4)  6 O 1.97-2.10
Sb (0.2497, 0.2500, 0.4822) (multiplicity 4)  6 O 1.93-1.98
O (0.0051, 0.0368, 0.6546) (multiplicity 8)  2 Sb 1.97-1.99
O (0.0347, 0.5500, 0.1490) (multiplicity 8)  2 Sb 1.99
O (0.0459, 0.7500, 0.5330) (multiplicity 4)  2 Sb 1.96
O (0.0499, 0.2500, 0.0338) (multiplicity 4)  2 Sb 1.98
O (0.1225, 0.7500, 0.7684) (multiplicity 4)  1 B 1.31
O (0.1489, 0.2500, 0.7924) (multiplicity 4)  1 B 1.40
O (0.1502, 0.5427, 0.9647) (multiplicity 8)  2 Sb 1.97-1.98
O (0.1535, 0.0367, 0.4932) (multiplicity 8)  2 Sb 1.96-1.98
O (0.1663, 0.7500, 0.3018) (multiplicity 4)  1 B 1.40
O (0.2031, 0.2500, 0.3340) (multiplicity 4)  1 B 1.43
O (0.2228, 0.2500, 0.1542) (multiplicity 4)  1 B 1.37
O (0.2417, 0.7500, 0.1333) (multiplicity 4)  1 B 1.34

[7]
Here is an optimized crystal structure of CsK4CuSb2 from OQMD. Energies are from PBE-GGA.

The calculated total energy is -60.5 eV per cell.

Cell: 6.0435 6.0435 28.8794 Å, 90.00 90.00 120.00°
With the nearest neighbours (Å) after each atom.
Space group R-3m (No. 166, hexagonal axes)
Inequivalent atoms, fractional coordinates:
Cs (0.0000, 0.0000, 0.0000) (multiplicity 3)  8 K 3.81-3.92, 6 Sb 4.18
K (0.0000, 0.0000, 0.1359) (multiplicity 6)  3 Cu 3.60, 3 Sb 3.84, 3 K 3.92, 1 Cs 3.92
K (0.0000, 0.0000, 0.2801) (multiplicity 6)  4 Sb 3.57-3.85, 3 Cs 3.81
Cu (0.0000, 0.0000, 0.5000) (multiplicity 3)  2 Sb 2.50
Sb (0.0000, 0.0000, 0.4133) (multiplicity 6)  1 Cu 2.50

[8]
Here is an optimized crystal structure of LaMoSe3 from OQMD. Energies are from PBE-GGA.

The calculated total energy is -126.3 eV per cell. The calculation puts the magnetic moment at 2.79 μB per formula unit.

Cell: 8.3353 4.0779 13.8558 Å, 90.00 90.00 90.00°
With the nearest neighbours (Å) after each atom.
Space group Pnma (No. 62)
Inequivalent atoms, fractional coordinates:
La (0.0896, 0.2500, 0.1713) (multiplicity 4)  9 Se 3.09-3.44
Mo (0.1694, 0.7500, 0.4481) (multiplicity 4)  6 Se 2.60-2.65
Se (0.0102, 0.7500, 0.6097) (multiplicity 4)  3 Mo 2.60-2.65
Se (0.1548, 0.7500, 0.0081) (multiplicity 4)  2 Mo 2.65
Se (0.1868, 0.2500, 0.7817) (multiplicity 4)  1 Mo 2.60

[9]
Here is an optimized crystal structure of ErLuCo2C2 from OQMD. Energies are from PBE-GGA.

The calculated total energy is -43.9 eV per cell. The calculation puts the magnetic moment at 0.63 μB per formula unit.

Cell: 3.5949 3.5949 6.7157 Å, 90.00 90.00 90.00°
With the nearest neighbours (Å) after each atom.
Space group P-4m2 (No. 115)
Inequivalent atoms, fractional coordinates:
Er (0.0000, 0.0000, 0.0000) (multiplicity 1)  4 C 2.48
Lu (0.0000, 0.0000, 0.5000) (multiplicity 1)  4 C 2.44
Co (0.5000, 0.5000, 0.2574) (multiplicity 2)  2 C 1.80
C (0.0000, 0.5000, 0.2542) (multiplicity 2)  2 Co 1.80

[10]
Here is an optimized crystal structure of NdTmZn2Sn2 from OQMD. Energies are from PBE-GGA.

The calculation puts the magnetic moment at 0.00 μB per formula unit. For the energy relative to the lowest polymorph listed for this composition, the calculation gives 0.15 eV/f.u.

Cell: 4.5530 4.5530 15.9525 Å, 90.00 90.00 120.00°
With the nearest neighbours (Å) after each atom.
Space group P6_3/mmc (No. 194)
Inequivalent atoms, fractional coordinates:
Nd (0.0000, 0.0000, 0.2500) (multiplicity 2)  6 Zn 3.03
Tm (0.0000, 0.0000, 0.0000) (multiplicity 2)  6 Sn 3.16
Zn (0.3333, 0.6667, 0.1552) (multiplicity 4)  3 Sn 2.73, 1 Zn 3.03, 3 Nd 3.03
Sn (0.3333, 0.6667, 0.6099) (multiplicity 4)  3 Zn 2.73

[11]
Here is an optimized crystal structure of NbNiIr2 from OQMD. Energies are from PBE-GGA.

The formation energy is -43 meV/atom. The calculation puts the magnetic moment at 0.29 μB per formula unit.

Cell: 6.1808 6.1808 6.1808 Å, 90.00 90.00 90.00°
With the nearest neighbours (Å) after each atom.
Space group F-43m (No. 216)
Inequivalent atoms, fractional coordinates:
Nb (0.0000, 0.0000, 0.0000) (multiplicity 4)  4 Ni 2.68, 4 Ir 2.68
Ni (0.2500, 0.2500, 0.7500) (multiplicity 4)  4 Nb 2.68, 4 Ir 2.68
Ir (0.0000, 0.0000, 0.5000) (multiplicity 4)  4 Ir 2.68, 4 Ni 2.68
Ir (0.2500, 0.2500, 0.2500) (multiplicity 4)  4 Nb 2.68, 4 Ir 2.68

[12]
Here is an optimized crystal structure of TbTm2Al3Ge2Au from OQMD. Energies are from PBE-GGA.

The calculated total energy is -87.4 eV per cell. The calculation puts the magnetic moment at 0.01 μB per formula unit.

Cell: 4.2409 12.1805 6.9973 Å, 90.00 90.00 90.00°
With the nearest neighbours (Å) after each atom.
Space group Amm2 (No. 38)
Inequivalent atoms, fractional coordinates:
Tb (0.0000, 0.0000, 0.0000) (multiplicity 2)  1 Au 2.96, 4 Ge 3.02, 6 Al 3.22-3.29
Tm (0.0000, 0.2079, 0.3791) (multiplicity 4)  1 Au 2.89, 4 Ge 2.98, 2 Al 3.23
Al (0.5000, 0.0000, 0.3459) (multiplicity 2)  2 Au 2.67, 2 Ge 2.74, 2 Al 2.90
Al (0.5000, 0.1186, 0.7049) (multiplicity 4)  2 Au 2.72, 2 Ge 2.72-2.74, 2 Al 2.89-2.90
Ge (0.5000, 0.1688, 0.0870) (multiplicity 4)  3 Al 2.72-2.74, 4 Tm 2.98, 2 Tb 3.02
Au (0.0000, 0.0000, 0.5777) (multiplicity 2)  6 Al 2.67-2.72, 2 Tm 2.89, 1 Tb 2.96